<P>
This record from the Alexandria database describes a relaxed Ti4NbRh crystal. The functional is PBE-GGA.

Cell: 5.142 6.890 6.967 Å, 119.33 99.62 98.30°
Atoms (fractional coordinates):
Ti  0.036  0.434  0.280
Ti  0.278  0.847  0.221
Ti  0.403  0.333  0.566
Ti  0.421  0.188  0.120
Ti  0.579  0.812  0.880
Ti  0.597  0.667  0.434
Ti  0.722  0.153  0.779
Ti  0.964  0.566  0.720
Nb  0.164  0.906  0.619
Nb  0.836  0.094  0.381
Rh  0.221  0.390  0.916
Rh  0.779  0.610  0.084

DOS at the Fermi energy: 12.8 states/eV per cell
V: 17.06 A^3/atom


<Q>
This record from the Alexandria database describes a relaxed Ti4NbRh crystal. The functional is PBE-GGA.

Cell: 7.491 4.326 7.523 Å, 90.00 109.30 90.00°
Atoms (fractional coordinates):
Ti  0.123  0.000  0.370
Ti  0.126  0.500  0.878
Ti  0.374  0.000  0.122
Ti  0.377  0.500  0.630
Ti  0.623  0.500  0.370
Ti  0.626  0.000  0.878
Ti  0.874  0.500  0.122
Ti  0.877  0.000  0.630
Nb  0.000  0.500  0.500
Nb  0.500  0.000  0.500
Rh  0.000  0.000  0.000
Rh  0.500  0.500  0.000

DOS at the Fermi energy: 14.0 states/eV per cell
V: 19.17 A^3/atom


The data favor <P>; the next most stable structure lies 408 meV per atom above it.


<P>
This record from the Alexandria database describes a relaxed NbTl2Rh crystal. The functional is PBE-GGA.

Cell: 7.672 7.672 5.820 Å, 90.00 90.00 90.00°
Atoms (fractional coordinates):
Nb  0.000  0.000  0.000
Nb  0.000  0.500  0.250
Nb  0.500  0.000  0.750
Nb  0.500  0.500  0.500
Tl  0.229  0.750  0.625
Tl  0.250  0.229  0.375
Tl  0.250  0.271  0.875
Tl  0.271  0.750  0.125
Tl  0.729  0.250  0.125
Tl  0.750  0.729  0.875
Tl  0.750  0.771  0.375
Tl  0.771  0.250  0.625
Rh  0.000  0.000  0.500
Rh  0.000  0.500  0.750
Rh  0.500  0.000  0.250
Rh  0.500  0.500  0.000

DOS at the Fermi energy: 12.3 states/eV per cell
V: 21.41 A^3/atom


<Q>
This record from the Alexandria database describes a relaxed NbTl2Rh crystal. The functional is PBE-GGA.

Cell: 6.799 6.799 6.799 Å, 90.00 90.00 90.00°
Atoms (fractional coordinates):
Nb  0.000  0.000  0.000
Nb  0.000  0.500  0.500
Nb  0.500  0.000  0.500
Nb  0.500  0.500  0.000
Tl  0.250  0.250  0.250
Tl  0.250  0.250  0.750
Tl  0.250  0.750  0.250
Tl  0.250  0.750  0.750
Tl  0.750  0.250  0.250
Tl  0.750  0.250  0.750
Tl  0.750  0.750  0.250
Tl  0.750  0.750  0.750
Rh  0.000  0.000  0.500
Rh  0.000  0.500  0.000
Rh  0.500  0.000  0.000
Rh  0.500  0.500  0.500

DOS at the Fermi energy: 11.1 states/eV per cell
V: 19.64 A^3/atom


The data favor <Q>; the next most stable structure lies 171 meV per atom above it.


<P>
This record from the Alexandria database describes a relaxed NbVRh crystal. The functional is PBE-GGA.

Cell: 4.396 4.396 2.744 Å, 90.00 90.00 120.00°
Atoms (fractional coordinates):
Nb  0.000  0.000  0.000
V  0.667  0.333  0.313
Rh  0.333  0.667  0.634

DOS at the Fermi energy: 4.7 states/eV per cell
V: 15.31 A^3/atom


<Q>
This record from the Alexandria database describes a relaxed NbVRh crystal. The functional is PBE-GGA.

Cell: 4.957 5.285 7.064 Å, 90.00 90.00 90.00°
Atoms (fractional coordinates):
Nb  0.000  0.250  0.119
Nb  0.000  0.750  0.881
Nb  0.500  0.250  0.381
Nb  0.500  0.750  0.619
V  0.250  0.250  0.750
V  0.250  0.750  0.250
V  0.750  0.250  0.750
V  0.750  0.750  0.250
Rh  0.000  0.000  0.500
Rh  0.000  0.500  0.500
Rh  0.500  0.000  0.000
Rh  0.500  0.500  0.000

DOS at the Fermi energy: 14.0 states/eV per cell
V: 15.42 A^3/atom


<R>
This record from the Alexandria database describes a relaxed NbVRh crystal. The functional is PBE-GGA.

Cell: 3.325 12.641 4.377 Å, 90.00 90.00 90.00°
Atoms (fractional coordinates):
Nb  0.000  0.089  0.250
Nb  0.000  0.911  0.750
Nb  0.500  0.411  0.750
Nb  0.500  0.589  0.250
V  0.000  0.416  0.250
V  0.000  0.584  0.750
V  0.500  0.084  0.750
V  0.500  0.916  0.250
Rh  0.000  0.239  0.750
Rh  0.000  0.761  0.250
Rh  0.500  0.261  0.250
Rh  0.500  0.739  0.750

DOS at the Fermi energy: 13.7 states/eV per cell
V: 15.33 A^3/atom


The data favor <Q>; the next most stable structure lies 125 meV per atom above it.


<P>
This record from the Alexandria database describes a relaxed NbVRh crystal. The functional is PBE-GGA.

Cell: 3.148 3.148 9.343 Å, 90.00 90.00 90.00°
Atoms (fractional coordinates):
Nb  0.000  0.000  0.000
Nb  0.500  0.500  0.500
V  0.000  0.000  0.336
V  0.500  0.500  0.836
Rh  0.000  0.000  0.677
Rh  0.500  0.500  0.177

DOS at the Fermi energy: 8.5 states/eV per cell
V: 15.43 A^3/atom


<Q>
This record from the Alexandria database describes a relaxed NbVRh crystal. The functional is PBE-GGA.

Cell: 3.738 3.738 6.891 Å, 90.00 90.00 90.00°
Atoms (fractional coordinates):
Nb  0.250  0.250  0.146
Nb  0.750  0.750  0.854
V  0.250  0.750  0.500
V  0.750  0.250  0.500
Rh  0.250  0.250  0.776
Rh  0.750  0.750  0.224

DOS at the Fermi energy: 7.1 states/eV per cell
V: 16.04 A^3/atom


The data favor <P>; the next most stable structure lies 96 meV per atom above it.


<P>
This record from the Alexandria database describes a relaxed NbV2Rh2 crystal. The functional is PBE-GGA.

Cell: 7.301 7.301 2.792 Å, 90.00 90.00 90.00°
Atoms (fractional coordinates):
Nb  0.000  0.000  0.000
Nb  0.500  0.500  0.000
V  0.157  0.343  0.000
V  0.343  0.843  0.000
V  0.657  0.157  0.000
V  0.843  0.657  0.000
Rh  0.142  0.642  0.500
Rh  0.358  0.142  0.500
Rh  0.642  0.858  0.500
Rh  0.858  0.358  0.500

DOS at the Fermi energy: 11.0 states/eV per cell
V: 14.88 A^3/atom


<Q>
This record from the Alexandria database describes a relaxed NbV2Rh2 crystal. The functional is PBE-GGA.

Cell: 3.858 3.858 10.652 Å, 90.00 90.00 90.00°
Atoms (fractional coordinates):
Nb  0.000  0.000  0.000
Nb  0.500  0.500  0.500
V  0.000  0.000  0.393
V  0.000  0.000  0.607
V  0.500  0.500  0.107
V  0.500  0.500  0.893
Rh  0.000  0.500  0.250
Rh  0.000  0.500  0.750
Rh  0.500  0.000  0.250
Rh  0.500  0.000  0.750

DOS at the Fermi energy: 7.5 states/eV per cell
V: 15.86 A^3/atom


The data favor <P>; the next most stable structure lies 318 meV per atom above it.


<P>
This record from the Alexandria database describes a relaxed NbVRh6 crystal. The functional is PBE-GGA.

Cell: 7.547 5.328 7.069 Å, 90.00 112.59 90.00°
Atoms (fractional coordinates):
Nb  0.000  0.000  0.000
Nb  0.500  0.500  0.000
V  0.000  0.500  0.500
V  0.500  0.000  0.500
Rh  0.154  0.000  0.443
Rh  0.192  0.239  0.795
Rh  0.192  0.761  0.795
Rh  0.308  0.261  0.205
Rh  0.308  0.739  0.205
Rh  0.346  0.500  0.557
Rh  0.654  0.500  0.443
Rh  0.692  0.261  0.795
Rh  0.692  0.739  0.795
Rh  0.808  0.239  0.205
Rh  0.808  0.761  0.205
Rh  0.846  0.000  0.557

DOS at the Fermi energy: 23.0 states/eV per cell
V: 16.40 A^3/atom


<Q>
This record from the Alexandria database describes a relaxed NbVRh6 crystal. The functional is PBE-GGA.

Cell: 3.860 3.860 7.713 Å, 90.00 90.00 90.00°
Atoms (fractional coordinates):
Nb  0.000  0.000  0.000
V  0.000  0.000  0.500
Rh  0.000  0.500  0.257
Rh  0.000  0.500  0.743
Rh  0.500  0.000  0.257
Rh  0.500  0.000  0.743
Rh  0.500  0.500  0.000
Rh  0.500  0.500  0.500

DOS at the Fermi energy: 6.1 states/eV per cell
V: 14.36 A^3/atom


The data favor <Q>; the next most stable structure lies 524 meV per atom above it.